(1)
Density functional theory data (meta-GGA SCAN) for a crystal of KGa2Pd2 relaxed with PBEsol.

Values from the calculation:
DFT formation energy: -0.36 eV/atom

a b c (Å): 4.3745 4.3745 10.4907
angles (deg): 90.00 90.00 90.00
With the nearest neighbours (Å) after each atom.
Space group I4/mmm (No. 139)
Asymmetric unit:
1 K 0.0000 0.0000 0.0000 x2  8 Pd 3.38, 8 Ga 3.42
2 Ga 0.0000 0.5000 0.2500 x4  4 Pd 2.52
3 Pd 0.0000 0.0000 0.3701 x4  4 Ga 2.52, 1 Pd 2.73

---

(2)
Density functional theory data (meta-GGA SCAN) for a crystal of Sr3LiRh relaxed with PBEsol.

Values from the calculation:
DFT formation energy: -0.16 eV/atom

a b c (Å): 5.8365 12.6953 9.5097
angles (deg): 90.00 90.00 90.00
With the nearest neighbours (Å) after each atom.
Space group Cmcm (No. 63)
Asymmetric unit:
1 Sr 0.0000 0.0544 0.2500 x4  2 Rh 2.92
2 Sr 0.0000 0.3661 0.0513 x8  2 Rh 3.03-3.05, 1 Li 3.25
3 Li 0.0000 0.2458 0.7500 x4  1 Rh 2.56
4 Rh 0.0000 0.4474 0.7500 x4  1 Li 2.56

---

(3)
Density functional theory data (meta-GGA SCAN) for a crystal of Ru3Au relaxed with PBEsol.

Values from the calculation:
DFT formation energy: 2.88 eV/atom

a b c (Å): 4.8699 4.8699 4.8699
angles (deg): 90.00 90.00 90.00
With the nearest neighbours (Å) after each atom.
Space group Pm-3m (No. 221)
Asymmetric unit:
1 Ru 0.0000 0.0000 0.5000 x3  2 Au 2.43
2 Au 0.0000 0.0000 0.0000 x1  6 Ru 2.43

---

(4)
Density functional theory data (meta-GGA SCAN) for a crystal of MgAsBr2N relaxed with PBEsol.

Values from the calculation:
E_form (uncorrected): 0.710 eV/atom

a b c (Å): 4.5992 4.5992 4.4426
angles (deg): 90.00 90.00 90.00
With the nearest neighbours (Å) after each atom.
Space group P4/mmm (No. 123)
Asymmetric unit:
1 Mg 0.0000 0.0000 0.0000 x1  8 Br 3.20, 4 As 3.25
2 As 0.5000 0.5000 0.0000 x1  2 N 2.22
3 Br 0.0000 0.5000 0.5000 x2  2 N 2.30
4 N 0.5000 0.5000 0.5000 x1  2 As 2.22, 4 Br 2.30

---

Number 1: total energy -216.76 eV for the cell shown. Number 2: total energy -415.13 eV for the cell shown. Number 3: total energy -162.10 eV for the cell shown. Number 4: total energy -69.82 eV for the cell shown.